Record 1
Ba2ReSi | PBE | relaxed

Unit cell a=3.4391 b=3.4391 c=9.6477 alpha=90.00 beta=90.00 gamma=90.00
With the nearest neighbours (Å) after each atom.
Space group P4/mmm (No. 123)
Asymmetric unit:
Ba 0.0000 0.0000 0.2460 x2  4 Re 3.40, 4 Ba 3.44, 4 Si 3.45
Re 0.5000 0.5000 0.0000 x1  8 Ba 3.40, 4 Re 3.44
Si 0.5000 0.5000 0.5000 x1  4 Si 3.44, 8 Ba 3.45

Computed properties:
The value obtained for the total magnetic moment is 0.45 μB per atom. As for the uncorrected formation energy: 0.96 eV per atom.

***

Record 2
CdHg3As | PBE | relaxed

Unit cell a=5.4586 b=5.4586 c=5.4586 alpha=90.00 beta=90.00 gamma=90.00
With the nearest neighbours (Å) after each atom.
Space group Pm-3m (No. 221)
Asymmetric unit:
Cd 0.0000 0.0000 0.0000 x1  12 Hg 3.86
Hg 0.0000 0.5000 0.5000 x3  2 As 2.73
As 0.5000 0.5000 0.5000 x1  6 Hg 2.73

Computed properties:
For the energy above the most stable polymorph in this dataset, the calculation gives 0.00 kcal/mol of atoms. The value obtained for the total magnetic moment is 0.00 μB per atom. As for the energy of formation: 104 kJ/mol of formula units.

***

Record 3
YErSn2Pd4 | PBE | relaxed

Unit cell a=4.7798 b=4.7798 c=23.6367 alpha=90.00 beta=90.00 gamma=120.00
With the nearest neighbours (Å) after each atom.
Space group R-3m (No. 166, hexagonal axes)
Asymmetric unit:
Y 0.0000 0.0000 0.0000 x3  8 Pd 2.95-2.96
Er 0.0000 0.0000 0.5000 x3  8 Pd 2.88-2.93
Sn 0.0000 0.0000 0.2501 x6  8 Pd 2.91-3.02
Pd 0.0000 0.0000 0.1254 x6  3 Er 2.93, 4 Sn 2.93-2.95, 1 Y 2.96
Pd 0.0000 0.0000 0.3780 x6  1 Er 2.88, 4 Sn 2.91-3.02, 3 Y 2.95

Computed properties:
The value obtained for the total magnetic moment is 0.00 μB per atom. As for the energy of formation: -677 kJ/mol of formula units.

***

Record 4
CaAsS | PBE | relaxed

Unit cell a=10.9379 b=3.6644 c=7.6565 alpha=90.00 beta=90.00 gamma=90.00
With the nearest neighbours (Å) after each atom.
Space group Amm2 (No. 38)
Asymmetric unit:
Ca 0.1598 0.0000 0.0000 x4  3 S 2.85-3.07, 3 As 2.95-3.01
As 0.3283 0.0000 0.6986 x4  1 S 2.21
S 0.0000 0.0000 0.6699 x2  6 Ca 2.85-3.07
S 0.5000 0.0000 0.8507 x2  2 As 2.21

Computed properties:
The value obtained for the total magnetic moment is 0.00 μB per atom. As for the uncorrected formation energy: -0.71 eV per atom.